1.
Material: Pa2FeGe3
Method: DFT, GGA-PBE
State: optimized geometry

Unit cell a=3.832 b=4.268 c=7.112 alpha=90.00 beta=90.00 gamma=90.00
Atoms (fractional coordinates):
Pa (0.000, 0.000, 0.000)
Pa (0.000, 0.500, 0.463)
Fe (0.500, 0.000, 0.295)
Ge (0.500, 0.000, 0.626)
Ge (0.500, 0.500, 0.153)
Ge (0.500, 0.500, 0.805)

symmetry = Pmm2, No. 25
total moment = 0.00 μB/atom
total energy = -7.3137 eV/atom
distance to the lowest polymorph of the same formula = 0 meV per atom
energy relative to the elements = -0.429 eV per atom

---

2.
Material: Ba6Bi2AuN
Method: DFT, GGA-PBE
State: optimized geometry

Unit cell a=7.827 b=9.073 c=13.667 alpha=90.00 beta=122.95 gamma=90.00
Atoms (fractional coordinates):
Ba (0.122, 0.030, 0.229)
Ba (0.122, 0.470, 0.729)
Ba (0.201, 0.714, 0.050)
Ba (0.201, 0.786, 0.550)
Ba (0.353, 0.164, 0.052)
Ba (0.353, 0.336, 0.552)
Ba (0.647, 0.664, 0.448)
Ba (0.647, 0.836, 0.948)
Ba (0.799, 0.214, 0.450)
Ba (0.799, 0.286, 0.950)
Ba (0.878, 0.530, 0.271)
Ba (0.878, 0.970, 0.771)
Bi (0.299, 0.099, 0.749)
Bi (0.299, 0.401, 0.249)
Bi (0.701, 0.599, 0.751)
Bi (0.701, 0.901, 0.251)
Au (0.500, 0.000, 0.500)
Au (0.500, 0.500, 0.000)
N (0.000, 0.000, 0.000)
N (0.000, 0.500, 0.500)

symmetry = P2_1/c, No. 14
total moment = 0.06 μB/atom
total energy = -3.7802 eV/atom
E_form (uncorrected) = -0.6901 eV/atom

---

3.
Material: Cd7Pd4Au
Method: DFT, GGA-PBE
State: optimized geometry

Unit cell a=6.895 b=6.895 c=9.797 alpha=124.17 beta=124.17 gamma=42.74
Atoms (fractional coordinates):
Cd (0.000, 0.000, 0.000)
Cd (0.158, 0.158, 0.593)
Cd (0.286, 0.286, 0.133)
Cd (0.429, 0.429, 0.669)
Cd (0.571, 0.571, 0.331)
Cd (0.714, 0.714, 0.867)
Cd (0.842, 0.842, 0.407)
Pd (0.067, 0.067, 0.780)
Pd (0.202, 0.202, 0.347)
Pd (0.798, 0.798, 0.653)
Pd (0.933, 0.933, 0.220)
Au (0.500, 0.500, 0.000)

symmetry = C2/m, No. 12
total moment = 0.00 μB/atom
total energy = -2.6732 eV/atom
energy relative to the elements = -0.135 eV per atom

---

4.
Material: TiNO2
Method: DFT, GGA-PBE
State: optimized geometry

Unit cell a=2.971 b=2.971 c=17.237 alpha=90.00 beta=90.00 gamma=120.00
Atoms (fractional coordinates):
Ti (0.000, 0.000, 0.000)
Ti (0.333, 0.667, 0.667)
Ti (0.667, 0.333, 0.333)
N (0.000, 0.000, 0.500)
N (0.333, 0.667, 0.167)
N (0.667, 0.333, 0.833)
O (0.000, 0.000, 0.393)
O (0.000, 0.000, 0.607)
O (0.333, 0.667, 0.059)
O (0.333, 0.667, 0.274)
O (0.667, 0.333, 0.726)
O (0.667, 0.333, 0.941)

symmetry = R-3m, No. 166
total moment = 0.39 μB/atom
total energy = -7.1786 eV/atom
E_form (uncorrected) = -0.6444 eV/atom